# GGA-PBE BaTbTe2Cl, optimized geometry
data_BaTbTe2Cl
_chemical_formula_sum 'Ba2 Tb2 Te4 Cl2'
_cell_length_a 8.996
_cell_length_b 4.497
_cell_length_c 9.487
_cell_angle_alpha 90.00
_cell_angle_beta 104.85
_cell_angle_gamma 90.00
_space_group_name_H-M_alt 'P 1 21/m 1'
_space_group_IT_number 11
loop_
_space_group_symop_operation_xyz
'x,y,z'
'-x,-y,-z'
'-x,y+1/2,-z'
'x,-y+1/2,z'
loop_
_atom_site_label
_atom_site_type_symbol
_atom_site_fract_x
_atom_site_fract_y
_atom_site_fract_z
_atom_site_occupancy
Ba1 Ba 0.234 0.250 0.316 1
Tb1 Tb 0.332 0.250 0.826 1
Te1 Te 0.312 0.750 0.051 1
Te2 Te 0.358 0.750 0.613 1
Cl1 Cl 0.022 0.250 0.729 1
# Formation energy (no corrections): -1.82 eV per atom
# DFT total energy: -4.761 eV/atom
# Total magnetic moment: 0.000 μB per cell


# GGA-PBE BaTbTlCl6, optimized geometry
data_BaTbTlCl6
_chemical_formula_sum 'Ba2 Tb2 Tl2 Cl12'
_cell_length_a 7.6800
_cell_length_b 7.6800
_cell_length_c 12.9752
_cell_angle_alpha 90.00
_cell_angle_beta 90.00
_cell_angle_gamma 120.00
_space_group_name_H-M_alt 'P -3 1 c'
_space_group_IT_number 163
_space_group_name_Hall '-P 3 2c'
loop_
_atom_site_label
_atom_site_type_symbol
_atom_site_fract_x
_atom_site_fract_y
_atom_site_fract_z
_atom_site_occupancy
Ba1 Ba 0.3333 0.6667 0.2500 1
Tb1 Tb 0.3333 0.6667 0.7500 1
Tl1 Tl 0.0000 0.0000 0.0000 1
Cl1 Cl 0.0414 0.3844 0.6337 1
# Formation energy (no corrections): -2.09 eV per atom
# DFT total energy: -4.312 eV/atom
# N(E_F): 0.00 states/eV per atom
# Total magnetic moment: 0.000 μB per cell


# GGA-PBE BaTc2Cl, optimized geometry
data_BaTc2Cl
_chemical_formula_sum 'Ba2 Tc4 Cl2'
_cell_length_a 3.129
_cell_length_b 5.415
_cell_length_c 9.321
_cell_angle_alpha 90.00
_cell_angle_beta 90.00
_cell_angle_gamma 90.00
_space_group_name_H-M_alt 'C m m m'
_space_group_IT_number 65
_space_group_name_Hall '-C 2 2'
loop_
_atom_site_label
_atom_site_type_symbol
_atom_site_fract_x
_atom_site_fract_y
_atom_site_fract_z
_atom_site_occupancy
Ba1 Ba 0.000 0.000 0.000 1
Tc1 Tc 0.000 0.500 0.292 1
Cl1 Cl 0.000 0.000 0.500 1
# Formation energy (no corrections): 1.23 eV per atom
# Polymorph energy (0 for the lowest one): 1.190 eV/atom
# DFT total energy: -4.898 eV/atom
# N(E_F): 1.43 states/eV per atom
# Total magnetic moment: 0.000 μB per cell


# GGA-PBE Ba2TcCl, optimized geometry
data_Ba2TcCl
_chemical_formula_sum 'Ba8 Tc4 Cl4'
_cell_length_a 8.003
_cell_length_b 8.003
_cell_length_c 8.003
_cell_angle_alpha 90.00
_cell_angle_beta 90.00
_cell_angle_gamma 90.00
_space_group_name_H-M_alt 'F m -3 m'
_space_group_IT_number 225
_space_group_name_Hall '-F 4 2 3'
loop_
_atom_site_label
_atom_site_type_symbol
_atom_site_fract_x
_atom_site_fract_y
_atom_site_fract_z
_atom_site_occupancy
Ba1 Ba 0.250 0.250 0.250 1
Tc1 Tc 0.000 0.000 0.000 1
Cl1 Cl 0.000 0.000 0.500 1
# Formation energy (no corrections): 0.03 eV per atom
# Polymorph energy (0 for the lowest one): 0.261 eV/atom
# DFT total energy: -3.982 eV/atom
# N(E_F): 0.29 states/eV per atom
# Total magnetic moment: 8.068 μB per cell


# GGA-PBE Ba2TcCl2, optimized geometry
data_Ba2TcCl2
_chemical_formula_sum 'Ba4 Tc2 Cl4'
_cell_length_a 4.800
_cell_length_b 4.800
_cell_length_c 16.222
_cell_angle_alpha 90.00
_cell_angle_beta 90.00
_cell_angle_gamma 90.00
_space_group_name_H-M_alt 'I 4/m m m'
_space_group_IT_number 139
_space_group_name_Hall '-I 4 2'
loop_
_atom_site_label
_atom_site_type_symbol
_atom_site_fract_x
_atom_site_fract_y
_atom_site_fract_z
_atom_site_occupancy
Ba1 Ba 0.000 0.000 0.129 1
Tc1 Tc 0.000 0.000 0.500 1
Cl1 Cl 0.000 0.500 0.250 1
# Formation energy (no corrections): -0.58 eV per atom
# Polymorph energy (0 for the lowest one): 0.000 eV/atom
# DFT total energy: -4.165 eV/atom
# N(E_F): 1.93 states/eV per atom
# Total magnetic moment: 6.001 μB per cell


# GGA-PBE Ba2TcCl, optimized geometry
data_Ba2TcCl
_chemical_formula_sum 'Ba4 Tc2 Cl2'
_cell_length_a 3.649
_cell_length_b 5.322
_cell_length_c 14.129
_cell_angle_alpha 90.00
_cell_angle_beta 90.00
_cell_angle_gamma 90.00
_space_group_name_H-M_alt 'I m m 2'
_space_group_IT_number 44
loop_
_space_group_symop_operation_xyz
'x,y,z'
'-x,-y,z'
'-x,y,z'
'x,-y,z'
'x+1/2,y+1/2,z+1/2'
'-x+1/2,-y+1/2,z+1/2'
'-x+1/2,y+1/2,z+1/2'
'x+1/2,-y+1/2,z+1/2'
loop_
_atom_site_label
_atom_site_type_symbol
_atom_site_fract_x
_atom_site_fract_y
_atom_site_fract_z
_atom_site_occupancy
Ba1 Ba 0.000 0.000 0.000 1
Ba2 Ba 0.000 0.500 0.204 1
Tc1 Tc 0.000 0.500 0.709 1
Cl1 Cl 0.000 0.000 0.493 1
# Formation energy (no corrections): 0.02 eV per atom
# Polymorph energy (0 for the lowest one): 0.251 eV/atom
# DFT total energy: -3.992 eV/atom
# N(E_F): 0.92 states/eV per atom
# Total magnetic moment: 3.334 μB per cell


# GGA-PBE BaTcCl3, optimized geometry
data_BaTcCl3
_chemical_formula_sum 'Ba1 Tc1 Cl3'
_cell_length_a 5.990
_cell_length_b 5.990
_cell_length_c 5.990
_cell_angle_alpha 90.00
_cell_angle_beta 90.00
_cell_angle_gamma 90.00
_space_group_name_H-M_alt 'P m -3 m'
_space_group_IT_number 221
_space_group_name_Hall '-P 4 2 3'
loop_
_atom_site_label
_atom_site_type_symbol
_atom_site_fract_x
_atom_site_fract_y
_atom_site_fract_z
_atom_site_occupancy
Ba1 Ba 0.000 0.000 0.000 1
Tc1 Tc 0.500 0.500 0.500 1
Cl1 Cl 0.000 0.000 0.500 1
# Formation energy (no corrections): -0.46 eV per atom
# Polymorph energy (0 for the lowest one): 0.470 eV/atom
# DFT total energy: -4.026 eV/atom
# N(E_F): 0.00 states/eV per atom
# Total magnetic moment: 6.000 μB per cell


# GGA-PBE BaTc2Cl, optimized geometry
data_BaTc2Cl
_chemical_formula_sum 'Ba1 Tc2 Cl1'
_cell_length_a 3.608
_cell_length_b 3.426
_cell_length_c 7.908
_cell_angle_alpha 90.00
_cell_angle_beta 103.16
_cell_angle_gamma 90.00
_space_group_name_H-M_alt 'P 1 m 1'
_space_group_IT_number 6
loop_
_space_group_symop_operation_xyz
'x,y,z'
'x,-y,z'
loop_
_atom_site_label
_atom_site_type_symbol
_atom_site_fract_x
_atom_site_fract_y
_atom_site_fract_z
_atom_site_occupancy
Ba1 Ba 0.000 0.000 0.000 1
Tc1 Tc 0.213 0.500 0.429 1
Tc2 Tc 0.680 0.000 0.363 1
Cl1 Cl 0.380 0.500 0.760 1
# Formation energy (no corrections): 0.04 eV per atom
# Polymorph energy (0 for the lowest one): 0.002 eV/atom
# DFT total energy: -6.086 eV/atom
# N(E_F): 0.82 states/eV per atom
# Total magnetic moment: 0.000 μB per cell


# GGA-PBE BaTc2Cl, optimized geometry
data_BaTc2Cl
_chemical_formula_sum 'Ba1 Tc2 Cl1'
_cell_length_a 4.395
_cell_length_b 3.407
_cell_length_c 6.663
_cell_angle_alpha 90.00
_cell_angle_beta 90.06
_cell_angle_gamma 90.00
_space_group_name_H-M_alt 'P 1 2/m 1'
_space_group_IT_number 10
loop_
_space_group_symop_operation_xyz
'x,y,z'
'-x,-y,-z'
'-x,y,-z'
'x,-y,z'
loop_
_atom_site_label
_atom_site_type_symbol
_atom_site_fract_x
_atom_site_fract_y
_atom_site_fract_z
_atom_site_occupancy
Ba1 Ba 0.000 0.000 0.000 1
Tc1 Tc 0.000 0.500 0.500 1
Tc2 Tc 0.500 0.000 0.500 1
Cl1 Cl 0.500 0.500 0.000 1
# Formation energy (no corrections): 0.52 eV per atom
# Polymorph energy (0 for the lowest one): 0.479 eV/atom
# DFT total energy: -5.609 eV/atom
# N(E_F): 1.10 states/eV per atom
# Total magnetic moment: 1.022 μB per cell


# GGA-PBE BaTcCl, optimized geometry
data_BaTcCl
_chemical_formula_sum 'Ba1 Tc1 Cl1'
_cell_length_a 4.2889
_cell_length_b 4.2889
_cell_length_c 4.7739
_cell_angle_alpha 90.00
_cell_angle_beta 90.00
_cell_angle_gamma 120.00
_space_group_name_H-M_alt 'P 3 m 1'
_space_group_IT_number 156
loop_
_space_group_symop_operation_xyz
'x,y,z'
'-y,x-y,z'
'-x+y,-x,z'
'-y,-x,z'
'-x+y,y,z'
'x,x-y,z'
loop_
_atom_site_label
_atom_site_type_symbol
_atom_site_fract_x
_atom_site_fract_y
_atom_site_fract_z
_atom_site_occupancy
Ba1 Ba 0.0000 0.0000 0.0000 1
Tc1 Tc 0.3333 0.6667 0.5001 1
Cl1 Cl 0.6667 0.3333 0.5017 1
# Formation energy (no corrections): 0.23 eV per atom
# Polymorph energy (0 for the lowest one): 0.000 eV/atom
# DFT total energy: -4.479 eV/atom
# N(E_F): 0.62 states/eV per atom
# Total magnetic moment: 1.749 μB per cell


# GGA-PBE BaTc2Cl, optimized geometry
data_BaTc2Cl
_chemical_formula_sum 'Ba1 Tc2 Cl1'
_cell_length_a 3.279
_cell_length_b 3.279
_cell_length_c 8.491
_cell_angle_alpha 90.00
_cell_angle_beta 90.00
_cell_angle_gamma 90.00
_space_group_name_H-M_alt 'P 4 m m'
_space_group_IT_number 99
loop_
_space_group_symop_operation_xyz
'x,y,z'
'-y,x,z'
'-x,-y,z'
'y,-x,z'
'-x,y,z'
'y,x,z'
'x,-y,z'
'-y,-x,z'
loop_
_atom_site_label
_atom_site_type_symbol
_atom_site_fract_x
_atom_site_fract_y
_atom_site_fract_z
_atom_site_occupancy
Ba1 Ba 0.000 0.000 0.000 1
Tc1 Tc 0.000 0.000 0.563 1
Tc2 Tc 0.500 0.500 0.692 1
Cl1 Cl 0.500 0.500 0.243 1
# Formation energy (no corrections): 0.05 eV per atom
# Polymorph energy (0 for the lowest one): 0.014 eV/atom
# DFT total energy: -6.074 eV/atom
# N(E_F): 0.93 states/eV per atom
# Total magnetic moment: 0.001 μB per cell


# GGA-PBE BaTc2Cl, optimized geometry
data_BaTc2Cl
_chemical_formula_sum 'Ba1 Tc2 Cl1'
_cell_length_a 3.948
_cell_length_b 3.948
_cell_length_c 6.193
_cell_angle_alpha 90.00
_cell_angle_beta 90.00
_cell_angle_gamma 90.00
_space_group_name_H-M_alt 'P 4/m m m'
_space_group_IT_number 123
_space_group_name_Hall '-P 4 2'
loop_
_atom_site_label
_atom_site_type_symbol
_atom_site_fract_x
_atom_site_fract_y
_atom_site_fract_z
_atom_site_occupancy
Ba1 Ba 0.000 0.000 0.000 1
Tc1 Tc 0.500 0.500 0.331 1
Cl1 Cl 0.000 0.000 0.500 1
# Formation energy (no corrections): 1.06 eV per atom
# Polymorph energy (0 for the lowest one): 1.022 eV/atom
# DFT total energy: -5.066 eV/atom
# N(E_F): 1.09 states/eV per atom
# Total magnetic moment: 0.205 μB per cell